No. 1
Ca2GaAsN | PBE-GGA | optimized geometry

extended XYZ file:
```
5
Lattice="4.874 0.000 0.000 0.000 4.874 0.000 0.000 0.000 4.160" Properties=species:S:1:pos:R:3 pbc="T T T"
Ca 0.000 2.437 0.000
Ca 2.437 0.000 0.000
Ga 0.000 0.000 2.080
As 2.437 2.437 2.080
N 0.000 0.000 0.000
```

Properties
As for the polymorph energy (0 for the lowest one): 0.058 eV per atom. Its space-group type is P4/mmm (123).

No. 2
Na2CaGaAs | PBE-GGA | optimized geometry

extended XYZ file:
```
5
Lattice="5.608 0.000 0.000 0.000 5.608 0.000 0.000 0.000 5.027" Properties=species:S:1:pos:R:3 pbc="T T T"
Na 0.000 2.804 0.000
Na 2.804 0.000 0.000
Ca 0.000 0.000 2.513
Ga 2.804 2.804 2.513
As 2.804 2.804 0.000
```

Properties
Its space-group type is P4/mmm (123). The calculation puts the formation energy at 0.007 eV per atom.

no.,DOS at the Fermi energy (states/eV per atom)
1,0.049
2,0.398